1.
First-principles (PBE-GGA) data for a geometry-optimized LiRuW3 structure, as listed in Alexandria via LeMat-Bulk.

Values from the calculation:
- Distance to the lowest polymorph of the same formula: 0.000 eV per atom
- DOS(E_F): 5.2 states/eV/cell
- Total energy: -0.6322 Ry/atom
- Total magnetic moment: 0.00 μB/f.u.
- ρ: 14.83 g/cm³

abc: 4.1954 4.1954 4.1954
angles: 90.00 90.00 90.00
Positions (direct):
Li 0.0000 0.0000 0.0000
Ru 0.5000 0.5000 0.5000
W 0.0000 0.0000 0.5000
W 0.0000 0.5000 0.0000
W 0.5000 0.0000 0.0000

=====

2.
First-principles (PBE-GGA) data for a geometry-optimized ErZr2Sc7 structure, as listed in Alexandria via LeMat-Bulk.

Values from the calculation:
- DOS(E_F): 12.7 states/eV/cell
- Total energy: -0.4346 Ry/atom
- Total magnetic moment: 0.00 μB/f.u.
- ρ: 3.71 g/cm³

abc: 8.0033 8.0033 5.2361
angles: 90.00 90.00 117.65
Positions (direct):
Er 0.0000 0.0000 0.0000
Zr 0.2885 0.7115 0.5000
Zr 0.7115 0.2885 0.5000
Sc 0.0683 0.3031 0.5000
Sc 0.2956 0.7044 0.0000
Sc 0.3031 0.0683 0.5000
Sc 0.5000 0.5000 0.5000
Sc 0.6969 0.9317 0.5000
Sc 0.7044 0.2956 0.0000
Sc 0.9317 0.6969 0.5000

=====

3.
First-principles (PBE-GGA) data for a geometry-optimized AcLa4TbNd2 structure, as listed in Alexandria via LeMat-Bulk.

Values from the calculation:
- DOS(E_F): 14.8 states/eV/cell
- Total energy: -0.3472 Ry/atom
- Total magnetic moment: 0.00 μB/f.u.
- ρ: 6.93 g/cm³

abc: 6.4572 6.4572 10.6184
angles: 114.27 114.27 48.25
Positions (direct):
Ac 0.0000 0.0000 0.0000
La 0.2468 0.2468 0.8693
La 0.2512 0.2512 0.3784
La 0.7488 0.7488 0.6216
La 0.7532 0.7532 0.1307
Tb 0.0000 0.0000 0.5000
Nd 0.4984 0.4984 0.2559
Nd 0.5016 0.5016 0.7441

=====

4.
First-principles (PBE-GGA) data for a geometry-optimized LiSmEuAg structure, as listed in Alexandria via LeMat-Bulk.

Values from the calculation:
- DOS(E_F): 8.7 states/eV/cell
- Total energy: -0.3684 Ry/atom
- Total magnetic moment: 7.19 μB/f.u.
- ρ: 6.41 g/cm³

abc: 5.3473 5.3473 5.3473
angles: 60.00 60.00 60.00
Positions (direct):
Li 0.0000 0.0000 0.0000
Sm 0.7500 0.7500 0.7500
Eu 0.2500 0.2500 0.2500
Ag 0.5000 0.5000 0.5000

=====

5.
First-principles (PBE-GGA) data for a geometry-optimized La2YZr structure, as listed in Alexandria via LeMat-Bulk.

Values from the calculation:
- Distance to the lowest polymorph of the same formula: 0.038 eV per atom
- DOS(E_F): 5.9 states/eV/cell
- Total energy: -0.4468 Ry/atom
- Total magnetic moment: 0.00 μB/f.u.
- ρ: 6.14 g/cm³

abc: 6.0190 6.0190 6.1938
angles: 99.94 99.94 34.11
Positions (direct):
La 0.2433 0.2433 0.2433
La 0.7567 0.7567 0.7567
Y 0.0000 0.0000 0.5000
Zr 0.5000 0.5000 0.0000

=====

6.
First-principles (PBE-GGA) data for a geometry-optimized LiGa3Ag3 structure, as listed in Alexandria via LeMat-Bulk.

Values from the calculation:
- Distance to the lowest polymorph of the same formula: 0.000 eV per atom
- DOS(E_F): 4.3 states/eV/cell
- Total energy: -0.2131 Ry/atom
- Total magnetic moment: 0.00 μB/f.u.
- ρ: 7.57 g/cm³

abc: 7.5796 7.5796 4.7599
angles: 90.00 90.00 120.00
Positions (direct):
Li 0.3333 0.6667 0.2500
Li 0.6667 0.3333 0.7500
Ga 0.0927 0.4716 0.7500
Ga 0.3789 0.9073 0.7500
Ga 0.4716 0.3789 0.2500
Ga 0.5284 0.6211 0.7500
Ga 0.6211 0.0927 0.2500
Ga 0.9073 0.5284 0.2500
Ag 0.0454 0.2470 0.2500
Ag 0.2017 0.9546 0.2500
Ag 0.2470 0.2017 0.7500
Ag 0.7530 0.7983 0.2500
Ag 0.7983 0.0454 0.7500
Ag 0.9546 0.7530 0.7500

=====

| no. | energy of formation (meV per atom) |
| --- | --- |
| 1 | 1408 |
| 2 | 684 |
| 3 | 25 |
| 4 | -72 |
| 5 | 137 |
| 6 | -106 |